Be4CrNi | GGA-PBE | relaxed

Unit cell a=4.269 b=4.269 c=4.269 alpha=60.00 beta=60.00 gamma=60.00
Fractional positions:
Be (0.376, 0.376, 0.376)
Be (0.376, 0.376, 0.873)
Be (0.376, 0.873, 0.376)
Be (0.873, 0.376, 0.376)
Cr (0.000, 0.000, 0.000)
Ni (0.750, 0.750, 0.750)

Formation energy   -0.1829 eV/atom
Symmetry   F-43m, No. 216



BeCr2Ni | GGA-PBE | relaxed

Unit cell a=2.466 b=2.466 c=24.579 alpha=90.00 beta=90.00 gamma=120.00
Fractional positions:
Be (0.000, 0.000, 0.000)
Be (0.333, 0.667, 0.667)
Be (0.667, 0.333, 0.333)
Cr (0.000, 0.000, 0.252)
Cr (0.000, 0.000, 0.748)
Cr (0.333, 0.667, 0.415)
Cr (0.333, 0.667, 0.918)
Cr (0.667, 0.333, 0.082)
Cr (0.667, 0.333, 0.585)
Ni (0.000, 0.000, 0.500)
Ni (0.333, 0.667, 0.167)
Ni (0.667, 0.333, 0.833)

Formation energy   0.1841 eV/atom
Symmetry   R-3m, No. 166



- What is the formation energy in the second record?
  0.1841 eV/atom



- formation energy of number 2 (BeCr2Ni)?
  0.1841 eV/atom



- formation energy of number 1 (Be4CrNi)?
  -0.1829 eV/atom